DFT (GGA-PBE) results for a relaxed Ba2Ag2I crystal.

The structure in POSCAR format:
```
Ba2Ag2I
1.0
2.4296 1.4027 9.3316
-2.4296 1.4027 9.3316
0.0000 -2.8055 9.3316
Ba Ag I
2 2 1
direct
0.0771 0.0771 0.0771 Ba
0.9229 0.9229 0.9229 Ba
0.3321 0.3321 0.3321 Ag
0.6679 0.6679 0.6679 Ag
0.5000 0.5000 0.5000 I
```

Properties
Mass density ... 5.373 g/cm3
Raw total energy ... -14.82 eV per formula unit
Energy above the lowest structure with this stoichiometry ... 0 meV per atom
Total magnetization ... 0.000 μB per atom
E_form (uncorrected) ... -745 meV per atom